# 1
First-principles (PBE-GGA) data for an optimized crystal structure of HoUBiN2, as listed in Alexandria via LeMat-Bulk.

a = 3.929 Å, b = 3.929 Å, c = 12.683 Å
α = 90.00°, β = 90.00°, γ = 90.00°
Space group I4mm (No. 107)
Inequivalent atoms, fractional coordinates:
1 Ho 0.000 0.000 0.000 x2
2 U 0.000 0.000 0.334 x2
3 Bi 0.000 0.000 0.669 x2
4 N 0.000 0.500 0.406 x4

Results
Energy relative to the elements, uncorrected = -1280 meV/atom

# 2
First-principles (PBE-GGA) data for an optimized crystal structure of Tl12BiH6, as listed in Alexandria via LeMat-Bulk.

a = 12.9149 Å, b = 12.9149 Å, c = 9.1245 Å
α = 90.00°, β = 90.00°, γ = 120.00°
Space group R-3 (No. 148, hexagonal axes)
Inequivalent atoms, fractional coordinates:
1 Tl 0.0284 0.4430 0.1576 x18
2 Tl 0.0620 0.8835 0.8333 x18
3 Bi 0.0000 0.0000 0.5000 x3
4 H 0.0277 0.2881 0.0236 x18

Results
E = -142.15 eV for the cell shown

# 3
First-principles (PBE-GGA) data for an optimized crystal structure of KZnRu2, as listed in Alexandria via LeMat-Bulk.

a = 2.792 Å, b = 3.698 Å, c = 7.822 Å
α = 90.00°, β = 90.42°, γ = 90.00°
Space group Pm (No. 6)
Inequivalent atoms, fractional coordinates:
1 K 0.000 0.000 0.000 x1
2 Zn 0.500 0.500 0.663 x1
3 Ru 0.493 0.500 0.334 x1
4 Ru 0.996 0.000 0.474 x1

Results
Energy of formation = 0.41 eV/atom

# 4
First-principles (PBE-GGA) data for an optimized crystal structure of NaMgGa, as listed in Alexandria via LeMat-Bulk.

a = 4.9210 Å, b = 4.9210 Å, c = 3.3023 Å
α = 90.00°, β = 90.00°, γ = 120.00°
Space group P3m1 (No. 156)
Inequivalent atoms, fractional coordinates:
1 Na 0.0000 0.0000 0.0000 x1
2 Mg 0.3333 0.6667 0.4957 x1
3 Ga 0.6667 0.3333 0.5049 x1

Results
Energy of formation = -0.01 eV/atom
Polymorph energy (0 for the lowest one) = 0.057 eV per atom

# 5
First-principles (PBE-GGA) data for an optimized crystal structure of KSe4Cl, as listed in Alexandria via LeMat-Bulk.

a = 8.281 Å, b = 8.281 Å, c = 8.281 Å
α = 90.00°, β = 90.00°, γ = 90.00°
Space group F-43m (No. 216)
Inequivalent atoms, fractional coordinates:
1 K 0.000 0.000 0.000 x4
2 Se 0.122 0.122 0.622 x16
3 Cl 0.250 0.250 0.250 x4

Results
Energy relative to the elements, uncorrected = -98 meV/atom

# 6
First-principles (PBE-GGA) data for an optimized crystal structure of Si2RhBr, as listed in Alexandria via LeMat-Bulk.

a = 4.082 Å, b = 3.692 Å, c = 5.586 Å
α = 90.00°, β = 97.33°, γ = 90.00°
Space group Pm (No. 6)
Inequivalent atoms, fractional coordinates:
1 Si 0.000 0.000 0.000 x1
2 Si 0.365 0.500 0.993 x1
3 Rh 0.862 0.500 0.238 x1
4 Br 0.721 0.000 0.579 x1

Results
Polymorph energy (0 for the lowest one) = 0.012 eV per atom
Energy relative to the elements, uncorrected = -29 meV/atom

# 7
First-principles (PBE-GGA) data for an optimized crystal structure of KCe4Se6, as listed in Alexandria via LeMat-Bulk.

a = 4.276 Å, b = 14.095 Å, c = 21.957 Å
α = 90.00°, β = 90.00°, γ = 90.00°
Space group Cmcm (No. 63)
Inequivalent atoms, fractional coordinates:
1 K 0.000 0.158 0.250 x4
2 Ce 0.000 0.097 0.631 x8
3 Ce 0.000 0.365 0.542 x8
4 Se 0.000 0.000 0.000 x4
5 Se 0.000 0.167 0.750 x4
6 Se 0.000 0.271 0.082 x8
7 Se 0.000 0.463 0.656 x8

Results
Energy relative to the elements, uncorrected = -1726 meV/atom

# 8
First-principles (PBE-GGA) data for an optimized crystal structure of Sm4Y5Ho, as listed in Alexandria via LeMat-Bulk.

a = 10.357 Å, b = 10.357 Å, c = 6.246 Å
α = 90.00°, β = 90.00°, γ = 90.00°
Space group I4 (No. 79)
Inequivalent atoms, fractional coordinates:
1 Sm 0.044 0.348 0.000 x8
2 Y 0.000 0.000 0.770 x2
3 Y 0.152 0.228 0.498 x8
4 Ho 0.000 0.000 0.234 x2

Results
Energy of formation = 0.29 eV/atom
Polymorph energy (0 for the lowest one) = 0.106 eV per atom

# 9
First-principles (PBE-GGA) data for an optimized crystal structure of Sm4Y11Tm9, as listed in Alexandria via LeMat-Bulk.

a = 16.623 Å, b = 25.026 Å, c = 3.679 Å
α = 90.00°, β = 90.00°, γ = 90.00°
Space group Cmmm (No. 65)
Inequivalent atoms, fractional coordinates:
1 Sm 0.155 0.101 0.000 x8
2 Y 0.000 0.134 0.500 x4
3 Y 0.000 0.341 0.500 x4
4 Y 0.000 0.500 0.500 x2
5 Y 0.210 0.000 0.500 x4
6 Y 0.225 0.319 0.500 x8
7 Tm 0.000 0.000 0.000 x2
8 Tm 0.101 0.235 0.000 x8
9 Tm 0.140 0.428 0.000 x8

Results
Energy of formation = 0.06 eV/atom

# 10
First-principles (PBE-GGA) data for an optimized crystal structure of Ca2TlHg2, as listed in Alexandria via LeMat-Bulk.

a = 4.906 Å, b = 15.672 Å, c = 3.592 Å
α = 90.00°, β = 90.00°, γ = 90.00°
Space group Cmmm (No. 65)
Inequivalent atoms, fractional coordinates:
1 Ca 0.000 0.119 0.000 x4
2 Tl 0.000 0.500 0.500 x2
3 Hg 0.000 0.301 0.500 x4

Results
Energy of formation = -0.42 eV/atom
Polymorph energy (0 for the lowest one) = 0.015 eV per atom

# 11
First-principles (PBE-GGA) data for an optimized crystal structure of K2TlInPb6, as listed in Alexandria via LeMat-Bulk.

a = 8.1634 Å, b = 8.1634 Å, c = 41.0490 Å
α = 90.00°, β = 90.00°, γ = 120.00°
Space group R-3m (No. 166, hexagonal axes)
Inequivalent atoms, fractional coordinates:
1 K 0.0000 0.0000 0.1026 x6
2 K 0.0000 0.0000 0.2776 x6
3 Tl 0.0000 0.0000 0.4246 x6
4 In 0.0000 0.0000 0.0000 x3
5 In 0.0000 0.0000 0.5000 x3
6 Pb 0.0639 0.5319 0.3064 x18
7 Pb 0.0685 0.5343 0.8590 x18

Results
Energy of formation = 0.05 eV/atom

# 12
First-principles (PBE-GGA) data for an optimized crystal structure of LiTb2In2, as listed in Alexandria via LeMat-Bulk.

a = 7.312 Å, b = 10.857 Å, c = 3.299 Å
α = 90.00°, β = 90.00°, γ = 90.00°
Space group Pbam (No. 55)
Inequivalent atoms, fractional coordinates:
1 Li 0.000 0.000 0.000 x2
2 Tb 0.146 0.302 0.000 x4
3 In 0.190 0.565 0.500 x4

Results
Energy of formation = -0.24 eV/atom

Copy entry 12 word for word.
First-principles (PBE-GGA) data for an optimized crystal structure of LiTb2In2, as listed in Alexandria via LeMat-Bulk.

a = 7.312 Å, b = 10.857 Å, c = 3.299 Å
α = 90.00°, β = 90.00°, γ = 90.00°
Space group Pbam (No. 55)
Inequivalent atoms, fractional coordinates:
1 Li 0.000 0.000 0.000 x2
2 Tb 0.146 0.302 0.000 x4
3 In 0.190 0.565 0.500 x4

Results
Energy of formation = -0.24 eV/atom